Entry 1:
# LiVAu3 PBE optimized geometry
# **ΔH_f (0 K)**: 0.3595 eV per atom
# **Offset from the most stable computed form**: 0 meV/atom
# **Crystal system**: cubic
data_LiVAu3
_cell_length_a 4.456
_cell_length_b 4.456
_cell_length_c 4.456
_cell_angle_alpha 90.00
_cell_angle_beta 90.00
_cell_angle_gamma 90.00
_symmetry_space_group_name_H-M 'P m -3 m'
_symmetry_Int_Tables_number 221
_symmetry_space_group_name_Hall '-P 4 2 3'
loop_
_atom_site_label
_atom_site_type_symbol
_atom_site_fract_x
_atom_site_fract_y
_atom_site_fract_z
Li1 Li 0.000 0.000 0.000
V1 V 0.500 0.500 0.500
Au1 Au 0.000 0.000 0.500

---

Entry 2:
# GeHCl2 PBE optimized geometry
# **Offset from the most stable computed form**: 589 meV/atom
# **Crystal system**: trigonal
data_GeHCl2
_cell_length_a 3.2717
_cell_length_b 3.2717
_cell_length_c 22.4449
_cell_angle_alpha 90.00
_cell_angle_beta 90.00
_cell_angle_gamma 120.00
_symmetry_space_group_name_H-M 'R -3 m'
_symmetry_Int_Tables_number 166
_symmetry_space_group_name_Hall '-R 3 2"'
loop_
_atom_site_label
_atom_site_type_symbol
_atom_site_fract_x
_atom_site_fract_y
_atom_site_fract_z
Ge1 Ge 0.0000 0.0000 0.0000
H1 H 0.0000 0.0000 0.5000
Cl1 Cl 0.0000 0.0000 0.1105

---

Entry 3:
# CuSiF6 PBE optimized geometry
# **ΔE_f (raw)**: -2371 meV per atom
# **Crystal system**: monoclinic
data_CuSiF6
_cell_length_a 5.110
_cell_length_b 8.541
_cell_length_c 5.283
_cell_angle_alpha 90.00
_cell_angle_beta 100.69
_cell_angle_gamma 90.00
_symmetry_space_group_name_H-M 'C 1 2/m 1'
_symmetry_Int_Tables_number 12
_symmetry_space_group_name_Hall '-C 2y'
loop_
_atom_site_label
_atom_site_type_symbol
_atom_site_fract_x
_atom_site_fract_y
_atom_site_fract_z
Cu1 Cu 0.000 0.000 0.000
Si1 Si 0.000 0.000 0.500
F1 F 0.153 0.138 0.710
F2 F 0.244 0.500 0.685

---

Entry 4:
# IrPbO6 PBE optimized geometry
# **ΔE_f (raw)**: -224 meV per atom
# **Crystal system**: trigonal
data_IrPbO6
_cell_length_a 7.0140
_cell_length_b 7.0140
_cell_length_c 7.1298
_cell_angle_alpha 90.00
_cell_angle_beta 90.00
_cell_angle_gamma 120.00
_symmetry_space_group_name_H-M 'R -3 m'
_symmetry_Int_Tables_number 166
_symmetry_space_group_name_Hall '-R 3 2"'
loop_
_atom_site_label
_atom_site_type_symbol
_atom_site_fract_x
_atom_site_fract_y
_atom_site_fract_z
Ir1 Ir 0.0000 0.0000 0.0000
Pb1 Pb 0.0000 0.0000 0.5000
O1 O 0.0861 0.5430 0.8235

---

Entry 5:
# ZnSi2Ir2 PBE optimized geometry
# **ΔE_f (raw)**: -294 meV per atom
# **Crystal system**: tetragonal
data_ZnSi2Ir2
_cell_length_a 7.232
_cell_length_b 7.232
_cell_length_c 2.740
_cell_angle_alpha 90.00
_cell_angle_beta 90.00
_cell_angle_gamma 90.00
_symmetry_space_group_name_H-M 'P 4/m b m'
_symmetry_Int_Tables_number 127
_symmetry_space_group_name_Hall '-P 4 2ab'
loop_
_atom_site_label
_atom_site_type_symbol
_atom_site_fract_x
_atom_site_fract_y
_atom_site_fract_z
Zn1 Zn 0.000 0.000 0.000
Si1 Si 0.147 0.353 0.000
Ir1 Ir 0.146 0.646 0.500

---

Entry 6:
# PmZn4Ru PBE optimized geometry
# **ΔH_f (0 K)**: -0.2409 eV per atom
# **Crystal system**: cubic
data_PmZn4Ru
_cell_length_a 7.338
_cell_length_b 7.338
_cell_length_c 7.338
_cell_angle_alpha 90.00
_cell_angle_beta 90.00
_cell_angle_gamma 90.00
_symmetry_space_group_name_H-M 'F -4 3 m'
_symmetry_Int_Tables_number 216
_symmetry_space_group_name_Hall 'F -4 2 3'
loop_
_atom_site_label
_atom_site_type_symbol
_atom_site_fract_x
_atom_site_fract_y
_atom_site_fract_z
Pm1 Pm 0.000 0.000 0.000
Zn1 Zn 0.123 0.123 0.623
Ru1 Ru 0.250 0.250 0.250

---

| no. | Fermi-level density of states (states/eV per atom) |
| --- | --- |
| 1 | 0.82 |
| 2 | 0.14 |
| 3 | 0.36 |
| 4 | 0.74 |
| 5 | 0.44 |
| 6 | 0.63 |